Entry 1:
# PBE Sr2LiTcN4, relaxed
# * electronic total energy: -108.52 eV for the cell shown
# * raw formation energy: -0.664 eV per atom
# * calculated volume: 16.256 A^3/atom
# * magnetic moment: 0.000 μB per atom
data_Sr2LiTcN4
_chemical_formula_sum 'Sr4 Li2 Tc2 N8'
_cell_length_a 5.801
_cell_length_b 6.099
_cell_length_c 7.352
_cell_angle_alpha 90.00
_cell_angle_beta 90.00
_cell_angle_gamma 90.00
_space_group_name_H-M_alt 'P 1'
_space_group_IT_number 1
loop_
_space_group_symop_operation_xyz
'x,y,z'
loop_
_atom_site_label
_atom_site_type_symbol
_atom_site_fract_x
_atom_site_fract_y
_atom_site_fract_z
Sr1 Sr 0.501 0.229 0.248
Sr2 Sr 0.501 0.229 0.752
Sr3 Sr 0.001 0.771 0.748
Sr4 Sr 0.001 0.771 0.252
Li1 Li 0.000 0.209 0.500
Li2 Li 0.500 0.791 0.000
Tc1 Tc 0.500 0.794 0.500
Tc2 Tc 0.000 0.206 0.000
N1 N 0.249 0.021 0.000
N2 N 0.749 0.979 0.500
N3 N 0.252 0.981 0.500
N4 N 0.752 0.019 0.000
N5 N 0.498 0.639 0.712
N6 N 0.998 0.361 0.212
N7 N 0.998 0.361 0.788
N8 N 0.498 0.639 0.288

Entry 2:
# PBE SrLiTcN3, relaxed
# * electronic total energy: -83.62 eV for the cell shown
# * raw formation energy: -0.478 eV per atom
# * calculated volume: 12.888 A^3/atom
# * magnetic moment: 0.000 μB per atom
data_SrLiTcN3
_chemical_formula_sum 'Sr2 Li2 Tc2 N6'
_cell_length_a 5.278
_cell_length_b 5.698
_cell_length_c 5.977
_cell_angle_alpha 61.54
_cell_angle_beta 84.38
_cell_angle_gamma 78.14
_space_group_name_H-M_alt 'P 1'
_space_group_IT_number 1
loop_
_space_group_symop_operation_xyz
'x,y,z'
loop_
_atom_site_label
_atom_site_type_symbol
_atom_site_fract_x
_atom_site_fract_y
_atom_site_fract_z
Sr1 Sr 0.250 0.270 0.460
Sr2 Sr 0.750 0.730 0.540
Li1 Li 0.250 0.568 0.864
Li2 Li 0.750 0.432 0.136
Tc1 Tc 0.750 0.047 0.907
Tc2 Tc 0.250 0.953 0.093
N1 N 0.480 0.810 0.904
N2 N 0.020 0.286 0.904
N3 N 0.750 0.221 0.558
N4 N 0.520 0.190 0.096
N5 N 0.980 0.714 0.096
N6 N 0.250 0.779 0.442